Here is Pr2Er3Pt4 after structural relaxation from Alexandria. Energies are from GGA-PBE.

Values from the calculation:
excess energy over the best structure of this formula in the dataset = 0 meV per atom
VASP energy = -115.7 eV for the cell shown
calculated density = 12.03 g cm⁻³
E_form = -1.16 eV per atom

abc: 7.6159 7.6550 7.8528
angles: 90.00 109.49 90.00
With the nearest neighbours (Å) after each atom.
Space group P2_1/c (No. 14)
Unique sites:
1 Pr 0.1961 0.1761 0.0811 x4  6 Pt 3.02-3.27
2 Er 0.2459 0.6628 0.2484 x4  6 Pt 2.84-3.00
3 Er 0.5000 0.0000 0.5000 x2  6 Pt 2.95-3.10
4 Pt 0.0920 0.5406 0.8642 x4  4 Er 2.84-3.00, 1 Pt 2.98, 1 Pr 3.08
5 Pt 0.4999 0.1349 0.8721 x4  5 Er 2.88-3.10, 1 Pt 2.88, 1 Pr 3.02


Here is Pr2ErPt2 after structural relaxation from Alexandria. Energies are from GGA-PBE.

Values from the calculation:
excess energy over the best structure of this formula in the dataset = 49 meV per atom
VASP energy = -122.7 eV for the cell shown
calculated density = 9.93 g cm⁻³
E_form = -0.89 eV per atom

abc: 8.1217 10.9809 6.2967
angles: 90.00 90.00 90.00
With the nearest neighbours (Å) after each atom.
Space group Ibam (No. 72)
Unique sites:
1 Pr 0.1371 0.1543 0.0000 x8  3 Pt 2.88-3.09
2 Er 0.0000 0.5000 0.2500 x4  4 Pt 2.88, 2 Er 3.15
3 Pt 0.2362 0.1011 0.5000 x8  3 Pr 2.88-3.09, 2 Er 2.88


- Look up the excess energy over the best structure of this formula in the dataset of the first one.
  0 meV per atom


- Which formula does entry 1 have?
  Pr2Er3Pt4


- Among the records above, which one has the highest E_form?
  Pr2ErPt2